Li2MoIr SCAN PBEsol geometry; energy of formation from the pure elements = 61 meV/atom; excess energy over the best structure of this formula in the dataset = 16 meV per atom
1.0
-2.056 0.214 -1.739
-2.656 -1.882 3.065
1.328 5.125 1.081
Ir Li Mo
1 2 1
Direct
0.500 0.000 0.000
0.500 0.500 0.500
0.000 0.000 0.500
0.000 0.500 0.000

=====

LiMoIr2 SCAN PBEsol geometry; energy of formation from the pure elements = -312 meV/atom; excess energy over the best structure of this formula in the dataset = 0 meV per atom
1.0
3.991 0.000 0.000
-1.996 3.960 -0.009
0.000 2.019 3.443
Mo Ir Li
1 2 1
Direct
0.000 0.000 0.000
0.250 0.500 0.250
0.750 0.500 0.750
0.500 0.000 0.500

=====

LiMoIr2 SCAN PBEsol geometry; energy of formation from the pure elements = -179 meV/atom; excess energy over the best structure of this formula in the dataset = 133 meV per atom
1.0
2.681 0.000 -0.003
0.000 3.981 0.000
-1.264 0.000 5.040
Ir Li Mo
2 1 1
Direct
0.110 0.000 0.765
0.890 0.000 0.235
0.500 0.500 0.000
0.500 0.500 0.500

=====

LiMoIr2 SCAN PBEsol geometry; energy of formation from the pure elements = -103 meV/atom; excess energy over the best structure of this formula in the dataset = 209 meV per atom
1.0
-1.955 0.148 1.861
2.719 -3.332 1.158
2.448 3.463 2.295
Ir Li Mo
2 1 1
Direct
0.752 0.503 0.739
0.248 0.497 0.261
0.000 0.000 0.500
0.500 0.000 0.000

=====

LiMo2Ir SCAN PBEsol geometry; energy of formation from the pure elements = 270 meV/atom; excess energy over the best structure of this formula in the dataset = 249 meV per atom
1.0
-0.117 0.913 2.531
-2.848 -3.445 1.112
3.615 -2.628 1.115
Ir Li Mo
1 1 2
Direct
0.500 0.500 0.500
0.500 0.000 0.000
0.000 0.000 0.500
0.000 0.500 0.000

=====

LiMo2IrO SCAN PBEsol geometry; E_form (uncorrected) = 0.1072 eV per atom
1.0
-1.304 3.388 1.599
-0.916 -1.930 3.342
3.878 0.778 1.512
Mo Ir O Li
2 1 1 1
Direct
0.000 0.500 0.000
0.500 0.000 0.000
0.000 0.000 0.500
0.000 0.000 0.000
0.500 0.500 0.500

=====

Li2IrN SCAN PBEsol geometry; E_form (uncorrected) = -0.2934 eV per atom
1.0
3.714 0.000 0.000
1.857 5.560 0.000
1.857 0.000 5.560
N Ir Li
2 2 4
Direct
0.500 0.000 0.000
0.250 0.500 0.500
0.000 0.000 0.000
0.750 0.500 0.500
0.469 0.156 0.656
0.281 0.844 0.344
0.375 0.344 0.156
0.875 0.656 0.844

=====

LiIrN2 SCAN PBEsol geometry; E_form (uncorrected) = 0.7145 eV per atom
1.0
2.860 0.000 0.000
1.430 2.477 0.000
1.430 0.826 6.370
N Ir Li
2 1 1
Direct
0.906 0.906 0.281
0.094 0.094 0.719
0.000 0.000 0.000
0.500 0.500 0.500

=====

Please write out number 1 again, unchanged.
Li2MoIr SCAN PBEsol geometry; energy of formation from the pure elements = 61 meV/atom; excess energy over the best structure of this formula in the dataset = 16 meV per atom
1.0
-2.056 0.214 -1.739
-2.656 -1.882 3.065
1.328 5.125 1.081
Ir Li Mo
1 2 1
Direct
0.500 0.000 0.000
0.500 0.500 0.500
0.000 0.000 0.500
0.000 0.500 0.000